Record 1
# La4Tb2Sc

A relaxed structure of La4Tb2Sc (PBE, Alexandria via LeMat-Bulk).

The value obtained for the formation energy is 98 meV per atom. As for the magnetic moment: 0.0 μB per cell. The value obtained for the total energy is -69.2 eV per cell.

Cell lengths 8.8172, 6.5730, 8.9655 Å; angles 98.23, 86.98, 112.35 degrees
With the nearest neighbours (Å) after each atom.
Element x y z (fractional)
La 0.8739 0.5467 0.3908  3 La 3.31-3.69, 3 Tb 3.47-3.67, 1 Sc 3.56
La 0.8781 0.9218 0.6802  4 La 3.31-3.70, 1 Sc 3.52, 3 Tb 3.59-3.69
La 0.3138 0.9531 0.5299  3 La 3.41-3.49, 2 Sc 3.45-3.50, 4 Tb 3.47-3.77
La 0.2628 0.6503 0.1783  5 La 3.40-3.71, 2 Tb 3.64-3.78, 1 Sc 3.69
La 0.5034 0.8298 0.8781  2 Sc 3.32-3.48, 3 La 3.40-3.55, 2 Tb 3.41-3.60
La 0.0960 0.1659 0.3392  4 La 3.41-3.75, 2 Tb 3.49-3.56, 2 Sc 3.52-3.63
La 0.7992 0.6817 0.0294  2 Sc 3.28-3.39, 3 Tb 3.39-3.47, 3 La 3.50-3.63
La 0.2696 0.2075 0.8893  3 Tb 3.45-3.66, 5 La 3.49-3.83, 1 Sc 3.75
Tb 0.0903 0.5318 0.7433  1 Tb 3.41, 6 La 3.49-3.82, 2 Sc 3.55-3.59
Tb 0.6683 0.9407 0.3451  2 Sc 3.38-3.59, 1 Tb 3.43, 7 La 3.47-3.76
Tb 0.6730 0.3054 0.7166  2 Sc 3.37-3.60, 6 La 3.39-3.66, 1 Tb 3.41
Tb 0.5021 0.2680 0.2030  2 Sc 3.35-3.58, 1 Tb 3.43, 4 La 3.45-3.56
Sc 0.8680 0.2260 0.0340  6 La 3.28-3.63, 4 Tb 3.55-3.60
Sc 0.4513 0.5213 0.5428  4 La 3.32-3.52, 4 Tb 3.35-3.59

Record 2
# TlCrFe2

A relaxed structure of TlCrFe2 (PBE, Alexandria via LeMat-Bulk).

The energy relative to the lowest polymorph listed for this composition comes out at 0 meV per atom. The value obtained for the formation energy is 466 meV per atom. As for the magnetic moment: 3.2 μB per cell. The value obtained for the total energy is -27.1 eV per cell.

Cell lengths 3.0543, 3.0543, 6.2802 Å; angles 90.00, 90.00, 90.00 degrees
With the nearest neighbours (Å) after each atom.
Element x y z (fractional)
Tl 0.0000 0.0000 0.4963  6 Fe 2.86-3.15, 4 Cr 2.91, 4 Tl 3.05
Cr 0.5000 0.5000 0.8070  5 Fe 2.46-2.47
Fe 0.5000 0.5000 0.1989  1 Cr 2.46, 4 Fe 2.50
Fe 0.0000 0.0000 0.9979  4 Cr 2.47, 4 Fe 2.50

Record 3
# CaLaTeBr

A relaxed structure of CaLaTeBr (PBE, Alexandria via LeMat-Bulk).

The energy relative to the lowest polymorph listed for this composition comes out at 0 meV per atom. As for the magnetic moment: 0.0 μB per cell. The value obtained for the total energy is -52.3 eV per cell. For the raw formation energy, the calculation gives -1.418 eV per atom.

Cell lengths 4.2455, 4.2455, 23.7154 Å; angles 90.00, 90.00, 120.00 degrees
With the nearest neighbours (Å) after each atom.
Element x y z (fractional)
La 0.3333 0.6667 0.3230  3 Te 3.22, 3 Br 3.29
La 0.0000 0.0000 0.6564  3 Te 3.22, 3 Br 3.29
La 0.6667 0.3333 0.9897  3 Te 3.22, 3 Br 3.29
Br 0.0000 0.0000 0.4153  3 Ca 3.06, 3 La 3.29
Br 0.3333 0.6667 0.0819  3 Ca 3.06, 3 La 3.29
Br 0.6667 0.3333 0.7486  3 Ca 3.06, 3 La 3.29
Ca 0.6667 0.3333 0.4922  3 Te 3.04, 3 Br 3.06
Ca 0.3333 0.6667 0.8256  3 Te 3.04, 3 Br 3.06
Ca 0.0000 0.0000 0.1589  3 Te 3.04, 3 Br 3.06
Te 0.3333 0.6667 0.5681  3 Ca 3.04, 3 La 3.22
Te 0.0000 0.0000 0.9014  3 Ca 3.04, 3 La 3.22
Te 0.6667 0.3333 0.2347  3 Ca 3.04, 3 La 3.22